*P*
SmTh2Sc2 | PBE-GGA | optimized geometry

Cell and atoms, written as CIF:
```
data_SmTh2Sc2
_cell_length_a 14.228
_cell_length_b 6.881
_cell_length_c 6.064
_cell_angle_alpha 90.00
_cell_angle_beta 98.56
_cell_angle_gamma 90.00
_space_group_name_H-M_alt 'P 1'
_space_group_IT_number 1
_space_group_name_Hall 'P 1'
loop_
_atom_site_label
_atom_site_fract_x
_atom_site_fract_y
_atom_site_fract_z
Sm1 0.201 0.121 0.146
Sm2 0.201 0.379 0.646
Sm3 0.799 0.621 0.354
Sm4 0.799 0.879 0.854
Th1 0.003 0.625 0.757
Th2 0.003 0.875 0.257
Th3 0.404 0.125 0.558
Th4 0.404 0.375 0.058
Th5 0.596 0.625 0.942
Th6 0.596 0.875 0.442
Th7 0.997 0.125 0.743
Th8 0.997 0.375 0.243
Sc1 0.201 0.628 0.153
Sc2 0.201 0.872 0.653
Sc3 0.402 0.630 0.542
Sc4 0.402 0.870 0.042
Sc5 0.598 0.130 0.958
Sc6 0.598 0.370 0.458
Sc7 0.799 0.128 0.347
Sc8 0.799 0.372 0.847
```

Calculated values
Mass density = 7.97 g/cm3
Magnetic moment = 0.000 Bohr magnetons per cell
Volume = 587.0 Å³ per cell
Space group = P2_1/c, No. 14
N(E_F) = 1.4679 states/eV per atom


*Q*
SmTh2Sc2 | PBE-GGA | optimized geometry

Cell and atoms, written as CIF:
```
data_SmTh2Sc2
_cell_length_a 8.992
_cell_length_b 8.992
_cell_length_c 5.638
_cell_angle_alpha 108.12
_cell_angle_beta 108.12
_cell_angle_gamma 121.32
_space_group_name_H-M_alt 'P 1'
_space_group_IT_number 1
_space_group_name_Hall 'P 1'
loop_
_atom_site_label
_atom_site_fract_x
_atom_site_fract_y
_atom_site_fract_z
Sm1 0.122 0.878 0.750
Sm2 0.878 0.122 0.250
Th1 0.251 0.749 0.250
Th2 0.360 0.640 0.750
Th3 0.640 0.360 0.250
Th4 0.749 0.251 0.750
Sc1 0.202 0.320 0.011
Sc2 0.320 0.202 0.511
Sc3 0.680 0.798 0.489
Sc4 0.798 0.680 0.989
```

Calculated values
Mass density = 7.77 g/cm3
Magnetic moment = 0.000 Bohr magnetons per cell
Volume = 300.9 Å³ per cell
Space group = C2/c, No. 15
N(E_F) = 1.6920 states/eV per atom


The energy of each structure relative to the most stable one, in meV per atom, is as follows: *P* 0; *Q* 115.


*P*
SmTmThSc | PBE-GGA | optimized geometry

Cell and atoms, written as CIF:
```
data_SmTmThSc
_cell_length_a 5.550
_cell_length_b 5.550
_cell_length_c 5.550
_cell_angle_alpha 60.00
_cell_angle_beta 60.00
_cell_angle_gamma 60.00
_space_group_name_H-M_alt 'P 1'
_space_group_IT_number 1
_space_group_name_Hall 'P 1'
loop_
_atom_site_label
_atom_site_fract_x
_atom_site_fract_y
_atom_site_fract_z
Sm1 0.000 0.000 0.000
Tm1 0.750 0.750 0.750
Th1 0.500 0.500 0.500
Sc1 0.250 0.250 0.250
```

Calculated values
Mass density = 8.19 g/cm3
Magnetic moment = 0.000 Bohr magnetons per cell
Volume = 120.9 Å³ per cell
Space group = F-43m, No. 216
N(E_F) = 1.8504 states/eV per atom


*Q*
SmTmThSc | PBE-GGA | optimized geometry

Cell and atoms, written as CIF:
```
data_SmTmThSc
_cell_length_a 11.336
_cell_length_b 11.336
_cell_length_c 11.336
_cell_angle_alpha 17.92
_cell_angle_beta 17.92
_cell_angle_gamma 17.92
_space_group_name_H-M_alt 'P 1'
_space_group_IT_number 1
_space_group_name_Hall 'P 1'
loop_
_atom_site_label
_atom_site_fract_x
_atom_site_fract_y
_atom_site_fract_z
Sm1 0.000 0.000 0.000
Tm1 0.754 0.754 0.754
Th1 0.171 0.171 0.171
Sc1 0.583 0.583 0.583
```

Calculated values
Mass density = 8.23 g/cm3
Magnetic moment = 0.002 Bohr magnetons per cell
Volume = 120.4 Å³ per cell
Space group = R3m, No. 160
N(E_F) = 1.6383 states/eV per atom


The energy of each structure relative to the most stable one, in meV per atom, is as follows: *P* 64; *Q* 0.


*P*
SmYThSc | PBE-GGA | optimized geometry

Cell and atoms, written as CIF:
```
data_SmYThSc
_cell_length_a 5.355
_cell_length_b 6.824
_cell_length_c 6.824
_cell_angle_alpha 29.19
_cell_angle_beta 90.00
_cell_angle_gamma 90.00
_space_group_name_H-M_alt 'P 1'
_space_group_IT_number 1
_space_group_name_Hall 'P 1'
loop_
_atom_site_label
_atom_site_fract_x
_atom_site_fract_y
_atom_site_fract_z
Sm1 0.000 0.000 0.000
Y1 0.500 0.133 0.133
Th1 0.500 0.379 0.379
Sc1 0.000 0.745 0.745
```

Calculated values
Mass density = 7.05 g/cm3
Magnetic moment = 0.000 Bohr magnetons per cell
Volume = 121.6 Å³ per cell
Space group = Amm2, No. 38
N(E_F) = 1.8051 states/eV per atom


*Q*
SmYThSc | PBE-GGA | optimized geometry

Cell and atoms, written as CIF:
```
data_SmYThSc
_cell_length_a 5.583
_cell_length_b 5.583
_cell_length_c 5.583
_cell_angle_alpha 60.00
_cell_angle_beta 60.00
_cell_angle_gamma 60.00
_space_group_name_H-M_alt 'P 1'
_space_group_IT_number 1
_space_group_name_Hall 'P 1'
loop_
_atom_site_label
_atom_site_fract_x
_atom_site_fract_y
_atom_site_fract_z
Sm1 0.000 0.000 0.000
Y1 0.250 0.250 0.250
Th1 0.500 0.500 0.500
Sc1 0.750 0.750 0.750
```

Calculated values
Mass density = 6.97 g/cm3
Magnetic moment = 0.000 Bohr magnetons per cell
Volume = 123.1 Å³ per cell
Space group = F-43m, No. 216
N(E_F) = 1.8832 states/eV per atom


The energy of each structure relative to the most stable one, in meV per atom, is as follows: *P* 0; *Q* 20.


*P*
Sm2ScTi | PBE-GGA | optimized geometry

Cell and atoms, written as CIF:
```
data_Sm2ScTi
_cell_length_a 4.833
_cell_length_b 4.833
_cell_length_c 4.530
_cell_angle_alpha 90.00
_cell_angle_beta 90.00
_cell_angle_gamma 90.00
_space_group_name_H-M_alt 'P 1'
_space_group_IT_number 1
_space_group_name_Hall 'P 1'
loop_
_atom_site_label
_atom_site_fract_x
_atom_site_fract_y
_atom_site_fract_z
Sm1 0.000 0.500 0.000
Sm2 0.500 0.000 0.000
Sc1 0.000 0.000 0.500
Ti1 0.500 0.500 0.500
```

Calculated values
Mass density = 6.18 g/cm3
Magnetic moment = 0.002 Bohr magnetons per cell
Volume = 105.8 Å³ per cell
Space group = P4/mmm, No. 123
N(E_F) = 1.2064 states/eV per atom


*Q*
Sm2ScTi | PBE-GGA | optimized geometry

Cell and atoms, written as CIF:
```
data_Sm2ScTi
_cell_length_a 3.403
_cell_length_b 3.403
_cell_length_c 9.173
_cell_angle_alpha 90.00
_cell_angle_beta 90.00
_cell_angle_gamma 90.00
_space_group_name_H-M_alt 'P 1'
_space_group_IT_number 1
_space_group_name_Hall 'P 1'
loop_
_atom_site_label
_atom_site_fract_x
_atom_site_fract_y
_atom_site_fract_z
Sm1 0.000 0.000 0.233
Sm2 0.000 0.000 0.767
Sc1 0.500 0.500 0.500
Ti1 0.500 0.500 0.000
```

Calculated values
Mass density = 6.15 g/cm3
Magnetic moment = 0.000 Bohr magnetons per cell
Volume = 106.3 Å³ per cell
Space group = P4/mmm, No. 123
N(E_F) = 1.6068 states/eV per atom


The energy of each structure relative to the most stable one, in meV per atom, is as follows: *P* 11; *Q* 0.


*P*
Sm4ScTl | PBE-GGA | optimized geometry

Cell and atoms, written as CIF:
```
data_Sm4ScTl
_cell_length_a 8.321
_cell_length_b 8.321
_cell_length_c 6.455
_cell_angle_alpha 100.16
_cell_angle_beta 100.16
_cell_angle_gamma 116.19
_space_group_name_H-M_alt 'P 1'
_space_group_IT_number 1
_space_group_name_Hall 'P 1'
loop_
_atom_site_label
_atom_site_fract_x
_atom_site_fract_y
_atom_site_fract_z
Sm1 0.095 0.711 0.954
Sm2 0.181 0.406 0.621
Sm3 0.289 0.905 0.546
Sm4 0.406 0.181 0.121
Sm5 0.594 0.819 0.879
Sm6 0.711 0.095 0.454
Sm7 0.819 0.594 0.379
Sm8 0.905 0.289 0.046
Sc1 0.405 0.595 0.250
Sc2 0.595 0.405 0.750
Tl1 0.001 0.999 0.250
Tl2 0.999 0.001 0.750
```

Calculated values
Mass density = 7.47 g/cm3
Magnetic moment = 0.000 Bohr magnetons per cell
Volume = 378.2 Å³ per cell
Space group = C2/c, No. 15
N(E_F) = 1.4483 states/eV per atom


*Q*
Sm4ScTl | PBE-GGA | optimized geometry

Cell and atoms, written as CIF:
```
data_Sm4ScTl
_cell_length_a 3.505
_cell_length_b 5.725
_cell_length_c 9.519
_cell_angle_alpha 90.00
_cell_angle_beta 90.00
_cell_angle_gamma 90.00
_space_group_name_H-M_alt 'P 1'
_space_group_IT_number 1
_space_group_name_Hall 'P 1'
loop_
_atom_site_label
_atom_site_fract_x
_atom_site_fract_y
_atom_site_fract_z
Sm1 0.000 0.000 0.186
Sm2 0.000 0.000 0.814
Sm3 0.500 0.500 0.310
Sm4 0.500 0.500 0.690
Sc1 0.500 0.000 0.500
Tl1 0.000 0.500 0.000
```

Calculated values
Mass density = 7.40 g/cm3
Magnetic moment = 0.000 Bohr magnetons per cell
Volume = 191.0 Å³ per cell
Space group = Pmmm, No. 47
N(E_F) = 1.3374 states/eV per atom


The energy of each structure relative to the most stable one, in meV per atom, is as follows: *P* 0; *Q* 57.


*P*
SmSc3Tl | PBE-GGA | optimized geometry

Cell and atoms, written as CIF:
```
data_SmSc3Tl
_cell_length_a 5.150
_cell_length_b 6.918
_cell_length_c 7.447
_cell_angle_alpha 90.00
_cell_angle_beta 90.00
_cell_angle_gamma 90.00
_space_group_name_H-M_alt 'P 1'
_space_group_IT_number 1
_space_group_name_Hall 'P 1'
loop_
_atom_site_label
_atom_site_fract_x
_atom_site_fract_y
_atom_site_fract_z
Sm1 0.250 0.250 0.189
Sm2 0.750 0.750 0.811
Sc1 0.250 0.034 0.724
Sc2 0.250 0.466 0.724
Sc3 0.250 0.750 0.060
Sc4 0.750 0.250 0.940
Sc5 0.750 0.534 0.276
Sc6 0.750 0.966 0.276
Tl1 0.250 0.750 0.435
Tl2 0.750 0.250 0.565
```

Calculated values
Mass density = 6.13 g/cm3
Magnetic moment = 0.000 Bohr magnetons per cell
Volume = 265.3 Å³ per cell
Space group = Pmmn, No. 59
N(E_F) = 0.9374 states/eV per atom


*Q*
SmSc3Tl | PBE-GGA | optimized geometry

Cell and atoms, written as CIF:
```
data_SmSc3Tl
_cell_length_a 9.329
_cell_length_b 9.329
_cell_length_c 6.237
_cell_angle_alpha 100.89
_cell_angle_beta 100.89
_cell_angle_gamma 83.31
_space_group_name_H-M_alt 'P 1'
_space_group_IT_number 1
_space_group_name_Hall 'P 1'
loop_
_atom_site_label
_atom_site_fract_x
_atom_site_fract_y
_atom_site_fract_z
Sm1 0.035 0.176 0.466
Sm2 0.176 0.035 0.966
Sm3 0.824 0.965 0.034
Sm4 0.965 0.824 0.534
Sc1 0.088 0.702 0.037
Sc2 0.124 0.492 0.358
Sc3 0.227 0.380 0.858
Sc4 0.298 0.912 0.463
Sc5 0.380 0.227 0.358
Sc6 0.492 0.124 0.858
Sc7 0.508 0.876 0.142
Sc8 0.620 0.773 0.642
Sc9 0.702 0.088 0.537
Sc10 0.773 0.620 0.142
Sc11 0.876 0.508 0.642
Sc12 0.912 0.298 0.963
Tl1 0.321 0.679 0.750
Tl2 0.418 0.582 0.250
Tl3 0.582 0.418 0.750
Tl4 0.679 0.321 0.250
```

Calculated values
Mass density = 6.23 g/cm3
Magnetic moment = 0.000 Bohr magnetons per cell
Volume = 521.7 Å³ per cell
Space group = C2/c, No. 15
N(E_F) = 1.3744 states/eV per atom


The energy of each structure relative to the most stable one, in meV per atom, is as follows: *P* 0; *Q* 46.


*P*
SmSc2Tl2 | PBE-GGA | optimized geometry

Cell and atoms, written as CIF:
```
data_SmSc2Tl2
_cell_length_a 4.762
_cell_length_b 4.762
_cell_length_c 6.615
_cell_angle_alpha 90.00
_cell_angle_beta 90.00
_cell_angle_gamma 111.28
_space_group_name_H-M_alt 'P 1'
_space_group_IT_number 1
_space_group_name_Hall 'P 1'
loop_
_atom_site_label
_atom_site_fract_x
_atom_site_fract_y
_atom_site_fract_z
Sm1 0.000 0.000 0.000
Sc1 0.179 0.821 0.500
Sc2 0.821 0.179 0.500
Tl1 0.500 0.500 0.256
Tl2 0.500 0.500 0.744
```

Calculated values
Mass density = 7.71 g/cm3
Magnetic moment = 1.252 Bohr magnetons per cell
Volume = 139.8 Å³ per cell
Space group = Cmmm, No. 65
N(E_F) = 0.9885 states/eV per atom


*Q*
SmSc2Tl2 | PBE-GGA | optimized geometry

Cell and atoms, written as CIF:
```
data_SmSc2Tl2
_cell_length_a 5.101
_cell_length_b 5.101
_cell_length_c 6.343
_cell_angle_alpha 90.00
_cell_angle_beta 90.00
_cell_angle_gamma 120.00
_space_group_name_H-M_alt 'P 1'
_space_group_IT_number 1
_space_group_name_Hall 'P 1'
loop_
_atom_site_label
_atom_site_fract_x
_atom_site_fract_y
_atom_site_fract_z
Sm1 0.000 0.000 0.000
Sc1 0.333 0.667 0.664
Sc2 0.667 0.333 0.336
Tl1 0.333 0.667 0.208
Tl2 0.667 0.333 0.792
```

Calculated values
Mass density = 7.54 g/cm3
Magnetic moment = 0.000 Bohr magnetons per cell
Volume = 142.9 Å³ per cell
Space group = P-3m1, No. 164
N(E_F) = 1.2214 states/eV per atom


The energy of each structure relative to the most stable one, in meV per atom, is as follows: *P* 137; *Q* 0.


*P*
Sm6ScTl2 | PBE-GGA | optimized geometry

Cell and atoms, written as CIF:
```
data_Sm6ScTl2
_cell_length_a 9.856
_cell_length_b 9.856
_cell_length_c 5.906
_cell_angle_alpha 97.07
_cell_angle_beta 97.07
_cell_angle_gamma 72.14
_space_group_name_H-M_alt 'P 1'
_space_group_IT_number 1
_space_group_name_Hall 'P 1'
loop_
_atom_site_label
_atom_site_fract_x
_atom_site_fract_y
_atom_site_fract_z
Sm1 0.061 0.824 0.971
Sm2 0.141 0.391 0.164
Sm3 0.176 0.939 0.529
Sm4 0.277 0.502 0.697
Sm5 0.391 0.141 0.664
Sm6 0.498 0.723 0.803
Sm7 0.502 0.277 0.197
Sm8 0.609 0.859 0.336
Sm9 0.723 0.498 0.303
Sm10 0.824 0.061 0.471
Sm11 0.859 0.609 0.836
Sm12 0.939 0.176 0.029
Sc1 0.362 0.638 0.250
Sc2 0.638 0.362 0.750
Tl1 0.022 0.291 0.593
Tl2 0.291 0.022 0.093
Tl3 0.709 0.978 0.907
Tl4 0.978 0.709 0.407
```

Calculated values
Mass density = 8.34 g/cm3
Magnetic moment = 0.000 Bohr magnetons per cell
Volume = 539.6 Å³ per cell
Space group = C2/c, No. 15
N(E_F) = 1.2602 states/eV per atom


*Q*
Sm6ScTl2 | PBE-GGA | optimized geometry

Cell and atoms, written as CIF:
```
data_Sm6ScTl2
_cell_length_a 6.704
_cell_length_b 6.704
_cell_length_c 11.968
_cell_angle_alpha 106.21
_cell_angle_beta 106.21
_cell_angle_gamma 32.32
_space_group_name_H-M_alt 'P 1'
_space_group_IT_number 1
_space_group_name_Hall 'P 1'
loop_
_atom_site_label
_atom_site_fract_x
_atom_site_fract_y
_atom_site_fract_z
Sm1 0.024 0.024 0.345
Sm2 0.305 0.305 0.403
Sm3 0.327 0.327 0.121
Sm4 0.673 0.673 0.879
Sm5 0.695 0.695 0.597
Sm6 0.976 0.976 0.655
Sc1 0.000 0.000 0.000
Tl1 0.365 0.365 0.819
Tl2 0.635 0.635 0.181
```

Calculated values
Mass density = 8.18 g/cm3
Magnetic moment = 0.000 Bohr magnetons per cell
Volume = 275.1 Å³ per cell
Space group = C2/m, No. 12
N(E_F) = 1.2288 states/eV per atom


The energy of each structure relative to the most stable one, in meV per atom, is as follows: *P* 51; *Q* 0.